Entry 1:
Material: ThCu5Sn
Method: DFT, PBE
State: relaxed

Lattice parameters (Å, degrees): 5.1124 8.3697 10.6336 90.00 90.00 90.00
With the nearest neighbours (Å) after each atom.
Sites, in units of the cell vectors:
Cu 0.7500 0.9324 0.1054  4 Cu 2.56-2.61, 1 Sn 2.68
Cu 0.7500 0.4324 0.3946  4 Cu 2.56-2.61, 1 Sn 2.68
Cu 0.0013 0.9280 0.3130  7 Cu 2.53-2.57, 2 Sn 2.80-2.82
Cu 0.2500 0.9189 0.5183  5 Cu 2.53-2.55
Cu 0.2500 0.0676 0.8946  4 Cu 2.56-2.61, 1 Sn 2.68
Cu 0.7500 0.6800 0.2447  7 Cu 2.54-2.61
Cu 0.0013 0.4280 0.1870  7 Cu 2.53-2.57, 2 Sn 2.80-2.82
Cu 0.2500 0.5676 0.6054  4 Cu 2.56-2.61, 1 Sn 2.68
Cu 0.5013 0.0720 0.6869  7 Cu 2.53-2.57, 2 Sn 2.80-2.82
Cu 0.5013 0.5720 0.8131  7 Cu 2.53-2.57, 2 Sn 2.80-2.82
Cu 0.9987 0.5720 0.8131  7 Cu 2.53-2.57, 2 Sn 2.80-2.82
Cu 0.7500 0.1800 0.2553  7 Cu 2.54-2.61
Cu 0.9987 0.0720 0.6869  7 Cu 2.53-2.57, 2 Sn 2.80-2.82
Cu 0.4987 0.4280 0.1870  7 Cu 2.53-2.57, 2 Sn 2.80-2.82
Cu 0.2500 0.8200 0.7447  7 Cu 2.54-2.61
Cu 0.2500 0.3200 0.7553  7 Cu 2.54-2.61
Cu 0.4987 0.9280 0.3130  7 Cu 2.53-2.57, 2 Sn 2.80-2.82
Cu 0.2500 0.4189 0.9817  5 Cu 2.53-2.55
Cu 0.7500 0.5811 0.0183  5 Cu 2.53-2.55
Cu 0.7500 0.0811 0.4817  5 Cu 2.53-2.55
Sn 0.7500 0.8647 0.8589  8 Cu 2.68-2.92
Sn 0.2500 0.6353 0.3589  8 Cu 2.68-2.92
Sn 0.7500 0.3647 0.6411  8 Cu 2.68-2.92
Sn 0.2500 0.1353 0.1411  8 Cu 2.68-2.92
Th 0.2500 0.2499 0.4431  6 Cu 2.88-3.17
Th 0.7500 0.7501 0.5569  6 Cu 2.88-3.17
Th 0.2500 0.7499 0.0569  6 Cu 2.88-3.17
Th 0.7500 0.2501 0.9431  6 Cu 2.88-3.17

Properties
size of the total moment	0.00	μB/atom
raw total energy	-4.79	eV/atom
space group	No. 62
energy of formation from the pure elements	-0.235	eV per atom



Entry 2:
Material: YThCuSn
Method: DFT, PBE
State: relaxed

Lattice parameters (Å, degrees): 5.2376 5.2376 5.2376 60.00 60.00 60.00
With the nearest neighbours (Å) after each atom.
Sites, in units of the cell vectors:
Y 0.7500 0.7500 0.7500  4 Sn 3.21, 4 Cu 3.21
Th 0.2500 0.2500 0.2500  4 Sn 3.21, 4 Cu 3.21
Sn 0.0000 0.0000 0.0000  4 Y 3.21, 4 Th 3.21
Cu 0.5000 0.5000 0.5000  4 Th 3.21, 4 Y 3.21

Properties
size of the total moment	0.00	μB/atom
raw total energy	-5.80	eV/atom
space group	No. 216
energy of formation from the pure elements	-0.309	eV per atom



Entry 3:
Material: ThZnCuSn
Method: DFT, PBE
State: relaxed

Lattice parameters (Å, degrees): 4.9157 4.9157 4.9157 60.00 60.00 60.00
With the nearest neighbours (Å) after each atom.
Sites, in units of the cell vectors:
Th 0.7500 0.7500 0.7500  4 Cu 3.01, 4 Zn 3.01
Sn 0.2500 0.2500 0.2500  4 Cu 3.01, 4 Zn 3.01
Cu 0.5000 0.5000 0.5000  4 Th 3.01, 4 Sn 3.01
Zn 0.0000 0.0000 0.0000  4 Th 3.01, 4 Sn 3.01

Properties
size of the total moment	0.00	μB/atom
raw total energy	-4.41	eV/atom
space group	No. 216
energy of formation from the pure elements	-0.212	eV per atom



Entry 4:
Material: Th2ZnCu4Sn2
Method: DFT, PBE
State: relaxed

Lattice parameters (Å, degrees): 6.3915 6.3915 6.3915 89.71 120.17 120.17
With the nearest neighbours (Å) after each atom.
Sites, in units of the cell vectors:
Cu 0.0000 0.7272 0.2728  1 Zn 2.46, 2 Sn 2.70
Cu 0.4544 0.7272 0.7272  1 Zn 2.46, 2 Sn 2.70
Cu 0.0000 0.2728 0.7272  1 Zn 2.46, 2 Sn 2.70
Cu 0.5456 0.2728 0.2728  1 Zn 2.46, 2 Sn 2.70
Sn 0.0000 0.6935 0.6935  4 Cu 2.70, 1 Zn 2.78
Sn 0.0000 0.3065 0.3065  4 Cu 2.70, 1 Zn 2.78
Th 0.5000 0.7500 0.2500  8 Cu 3.20, 4 Sn 3.23
Th 0.5000 0.2500 0.7500  8 Cu 3.20, 4 Sn 3.23
Zn 0.0000 0.0000 0.0000  4 Cu 2.46

Properties
size of the total moment	0.00	μB/atom
raw total energy	-4.68	eV/atom
space group	No. 139
energy of formation from the pure elements	-0.177	eV per atom



Entry 5:
Material: TiCuSn
Method: DFT, PBE
State: relaxed

Lattice parameters (Å, degrees): 4.4744 4.4738 6.2145 89.99 90.00 120.00
With the nearest neighbours (Å) after each atom.
Sites, in units of the cell vectors:
Cu 0.9999 0.9998 0.3093  1 Cu 2.37, 3 Ti 2.63
Cu 0.0001 0.0002 0.6907  1 Cu 2.37, 3 Ti 2.63
Sn 0.3334 0.6668 0.8596  3 Cu 2.79, 4 Ti 2.91-3.02, 3 Sn 3.12
Sn 0.6666 0.3332 0.1404  3 Cu 2.79, 4 Ti 2.91-3.02, 3 Sn 3.12
Ti 0.3333 0.6665 0.3913  3 Cu 2.63, 1 Sn 2.91, 3 Ti 2.91-2.92
Ti 0.6667 0.3335 0.6087  3 Cu 2.63, 1 Sn 2.91, 3 Ti 2.91-2.92

Properties
size of the total moment	0.20	μB/atom
raw total energy	-5.37	eV/atom
space group	No. 164
energy of formation from the pure elements	-0.043	eV per atom



Entry 6:
Material: Ti10CuSn6
Method: DFT, PBE
State: relaxed

Lattice parameters (Å, degrees): 8.1564 8.1564 5.5275 90.00 90.00 120.00
With the nearest neighbours (Å) after each atom.
Sites, in units of the cell vectors:
Sn 0.3859 0.0000 0.7439  9 Ti 2.78-2.98
Sn 0.6141 0.6141 0.7439  9 Ti 2.78-2.98
Sn 0.0000 0.3859 0.7439  9 Ti 2.78-2.98
Sn 0.0000 0.6141 0.2561  9 Ti 2.78-2.98
Sn 0.6141 0.0000 0.2561  9 Ti 2.78-2.98
Sn 0.3859 0.3859 0.2561  9 Ti 2.78-2.98
Cu 0.0000 0.0000 0.5000  6 Ti 2.57
Ti 0.0000 0.7395 0.7620  1 Cu 2.57, 2 Sn 2.78
Ti 0.0000 0.2605 0.2380  1 Cu 2.57, 2 Sn 2.78
Ti 0.2605 0.0000 0.2380  1 Cu 2.57, 2 Sn 2.78
Ti 0.6667 0.3333 0.5000  2 Ti 2.76, 6 Sn 2.87
Ti 0.6667 0.3333 0.0000  2 Ti 2.76, 6 Sn 2.90
Ti 0.7395 0.7395 0.2380  1 Cu 2.57, 2 Sn 2.78
Ti 0.7395 0.0000 0.7620  1 Cu 2.57, 2 Sn 2.78
Ti 0.3333 0.6667 0.5000  2 Ti 2.76, 6 Sn 2.87
Ti 0.3333 0.6667 0.0000  2 Ti 2.76, 6 Sn 2.90
Ti 0.2605 0.2605 0.7620  1 Cu 2.57, 2 Sn 2.78

Properties
size of the total moment	0.01	μB/atom
raw total energy	-6.63	eV/atom
space group	No. 162
energy of formation from the pure elements	-0.333	eV per atom



Entry 7:
Material: TiCu2Sn2
Method: DFT, PBE
State: relaxed

Lattice parameters (Å, degrees): 3.3481 3.3481 8.5357 78.69 78.69 90.00
With the nearest neighbours (Å) after each atom.
Sites, in units of the cell vectors:
Cu 0.7500 0.2500 0.5000  4 Cu 2.37
Cu 0.2500 0.7500 0.5000  4 Cu 2.37
Sn 0.6135 0.6135 0.7730  4 Cu 2.80, 4 Ti 3.01
Sn 0.3865 0.3865 0.2270  4 Cu 2.80, 4 Ti 3.01
Ti 0.0000 0.0000 0.0000  8 Sn 3.01, 4 Ti 3.35

Properties
size of the total moment	0.00	μB/atom
raw total energy	-4.79	eV/atom
space group	No. 139
energy of formation from the pure elements	0.026	eV per atom



Entry 8:
Material: Ti2CuSn
Method: DFT, PBE
State: relaxed

Lattice parameters (Å, degrees): 4.2021 3.9870 3.9870 90.00 90.00 90.00
With the nearest neighbours (Å) after each atom.
Sites, in units of the cell vectors:
Ti 0.0000 0.0000 0.5000  4 Ti 2.82, 4 Sn 2.90, 4 Cu 2.90
Ti 0.0000 0.5000 0.0000  4 Ti 2.82, 4 Sn 2.90, 4 Cu 2.90
Cu 0.5000 0.5000 0.5000  4 Sn 2.82, 8 Ti 2.90
Sn 0.5000 0.0000 0.0000  4 Cu 2.82, 8 Ti 2.90

Properties
size of the total moment	0.00	μB/atom
raw total energy	-6.20	eV/atom
space group	No. 123
energy of formation from the pure elements	-0.231	eV per atom



Entry 9:
Material: Ti2CuSn
Method: DFT, PBE
State: relaxed

Lattice parameters (Å, degrees): 4.0428 4.1050 8.1345 90.00 90.00 90.00
With the nearest neighbours (Å) after each atom.
Sites, in units of the cell vectors:
Cu 0.2500 0.5001 0.6124  2 Cu 2.73, 8 Ti 2.73-2.92, 2 Sn 2.81
Cu 0.7500 0.4999 0.3876  2 Cu 2.73, 8 Ti 2.73-2.92, 2 Sn 2.81
Ti 0.2500 0.0000 0.8677  6 Sn 2.88-3.06, 4 Ti 2.92-2.95, 2 Cu 2.92
Ti 0.2500 0.0000 0.3910  4 Ti 2.69-2.92, 6 Cu 2.73-2.88, 2 Sn 2.85
Ti 0.7500 0.0000 0.6090  4 Ti 2.69-2.92, 6 Cu 2.73-2.88, 2 Sn 2.85
Ti 0.7500 0.0000 0.1323  6 Sn 2.88-3.06, 4 Ti 2.92-2.95, 2 Cu 2.92
Sn 0.7500 0.5000 0.8529  2 Cu 2.81, 8 Ti 2.85-3.06, 2 Sn 3.13
Sn 0.2500 0.5000 0.1471  2 Cu 2.81, 8 Ti 2.85-3.06, 2 Sn 3.13

Properties
size of the total moment	0.16	μB/atom
raw total energy	-6.14	eV/atom
space group	No. 51
energy of formation from the pure elements	-0.172	eV per atom



Entry 10:
Material: Ti4CuSn
Method: DFT, PBE
State: relaxed

Lattice parameters (Å, degrees): 4.7782 5.5012 9.0399 90.00 105.32 90.00
With the nearest neighbours (Å) after each atom.
Sites, in units of the cell vectors:
Ti 0.1310 0.8212 0.2620  2 Cu 2.55, 2 Sn 2.76
Ti 0.5593 0.3231 0.1185  1 Cu 2.42
Ti 0.2940 0.0674 0.5881  1 Cu 2.61, 5 Ti 2.70-2.89
Ti 0.7062 0.0769 0.4123  1 Cu 2.61, 5 Ti 2.70-2.90
Ti 0.7060 0.5674 0.4119  1 Cu 2.61, 5 Ti 2.70-2.89
Ti 0.2938 0.5769 0.5877  1 Cu 2.61, 5 Ti 2.70-2.90
Ti 0.4407 0.8231 0.8815  1 Cu 2.42
Ti 0.8690 0.3212 0.7380  2 Cu 2.55, 2 Sn 2.76
Sn 0.8538 0.8214 0.7077  10 Ti 2.76-2.94
Sn 0.1462 0.3214 0.2923  10 Ti 2.76-2.94
Cu 0.4203 0.3235 0.8406  5 Ti 2.42-2.61
Cu 0.5797 0.8235 0.1594  5 Ti 2.42-2.61

Properties
size of the total moment	0.00	μB/atom
raw total energy	-6.53	eV/atom
space group	No. 36
energy of formation from the pure elements	0.079	eV per atom



Entry 11:
Material: TiCuSn
Method: DFT, PBE
State: relaxed

Lattice parameters (Å, degrees): 3.0955 4.3954 4.3954 120.00 90.00 90.00
With the nearest neighbours (Å) after each atom.
Sites, in units of the cell vectors:
Ti 0.6681 0.3333 0.6667  6 Cu 2.96-2.98, 6 Sn 2.97, 2 Ti 3.10
Sn 0.1696 0.0000 0.0000  3 Cu 2.54
Cu 0.1624 0.6667 0.3333  3 Sn 2.54

Properties
size of the total moment	0.00	μB/atom
raw total energy	-5.49	eV/atom
space group	No. 156
energy of formation from the pure elements	-0.156	eV per atom



Entry 12:
Material: Ti2CuSn2
Method: DFT, PBE
State: relaxed

Lattice parameters (Å, degrees): 6.7750 6.7750 4.2257 90.00 90.00 90.00
With the nearest neighbours (Å) after each atom.
Sites, in units of the cell vectors:
Sn 0.6679 0.8321 0.5000  6 Ti 2.80-2.98
Sn 0.1679 0.6679 0.5000  6 Ti 2.80-2.98
Sn 0.3321 0.1679 0.5000  6 Ti 2.80-2.98
Sn 0.8321 0.3321 0.5000  6 Ti 2.80-2.98
Ti 0.8598 0.6402 0.0000  2 Cu 2.62, 1 Ti 2.69, 2 Sn 2.80
Ti 0.3598 0.8598 0.0000  2 Cu 2.62, 1 Ti 2.69, 2 Sn 2.80
Ti 0.6402 0.1402 0.0000  2 Cu 2.62, 1 Ti 2.69, 2 Sn 2.80
Ti 0.1402 0.3598 0.0000  2 Cu 2.62, 1 Ti 2.69, 2 Sn 2.80
Cu 0.0000 0.0000 0.0000  4 Ti 2.62
Cu 0.5000 0.5000 0.0000  4 Ti 2.62

Properties
energy above the lowest structure with this stoichiometry	0.0	meV per atom
size of the total moment	0.18	μB/atom
raw total energy	-5.62	eV/atom
space group	No. 127
energy of formation from the pure elements	-0.042	eV per atom



Look up the size of the total moment of the twelfth one.
0.18 μB/atom



Among the records above, which one has the highest size of the total moment?
number 5